1.
Material: Te2WAu
Method: DFT, PBE
State: relaxed

Relative energy among the computed polymorphs ... 361.9 meV/atom

a b c (Å): 3.076 3.076 10.759
angles (deg): 90.00 90.00 114.48
Positions (direct):
1 Te 0.000 0.000 0.040
2 Te 0.000 0.000 0.460
3 W 0.500 0.500 0.250
4 Au 0.500 0.500 0.750

***

2.
Material: YTe2Au
Method: DFT, PBE
State: relaxed

a b c (Å): 6.077 6.077 4.800
angles (deg): 85.84 85.84 40.58
Positions (direct):
1 Y 0.490 0.490 0.517
2 Au 0.210 0.210 0.319
3 Te 0.778 0.778 0.642
4 Te 0.022 0.022 0.023

***

3.
Material: YTeAu
Method: DFT, PBE
State: relaxed

a b c (Å): 4.377 4.377 5.017
angles (deg): 90.00 90.00 120.00
Positions (direct):
1 Te 0.667 0.333 0.318
2 Au 0.000 0.000 0.988
3 Y 0.333 0.667 0.694

***

4.
Material: YTe2Au
Method: DFT, PBE
State: relaxed

a b c (Å): 8.113 6.986 4.054
angles (deg): 73.20 104.54 44.18
Positions (direct):
1 Te 0.776 0.628 0.202
2 Te 0.277 0.669 0.432
3 Y 0.275 0.309 0.111
4 Au 0.776 0.178 0.428

***

5.
Material: YTe2Au
Method: DFT, PBE
State: relaxed

a b c (Å): 7.463 9.153 9.143
angles (deg): 121.41 90.00 90.00
Positions (direct):
1 Te 0.236 0.914 0.808
2 Te 0.232 0.942 0.282
3 Te 0.764 0.086 0.192
4 Te 0.268 0.442 0.282
5 Te 0.732 0.558 0.718
6 Te 0.264 0.414 0.808
7 Te 0.768 0.058 0.718
8 Te 0.736 0.586 0.192
9 Y 0.466 0.274 0.455
10 Y 0.966 0.226 0.545
11 Y 0.034 0.774 0.455
12 Y 0.534 0.726 0.545
13 Au 0.159 0.556 0.617
14 Au 0.659 0.944 0.383
15 Au 0.841 0.444 0.383
16 Au 0.341 0.056 0.617

***

6.
Material: YTe2Au
Method: DFT, PBE
State: relaxed

a b c (Å): 3.930 4.002 7.431
angles (deg): 68.30 90.00 90.00
Positions (direct):
1 Te 0.000 0.637 0.495
2 Te 0.000 0.863 0.005
3 Y 0.500 0.250 0.250
4 Au 0.500 0.750 0.750

***

7.
Material: YTeAu2
Method: DFT, PBE
State: relaxed

a b c (Å): 5.095 5.095 5.095
angles (deg): 60.00 60.00 60.00
Positions (direct):
1 Te 0.500 0.500 0.500
2 Au 0.000 0.000 0.000
3 Au 0.250 0.250 0.250
4 Y 0.750 0.750 0.750

***

8.
Material: YTeAu2
Method: DFT, PBE
State: relaxed

a b c (Å): 5.245 4.330 4.326
angles (deg): 88.17 90.00 90.00
Positions (direct):
1 Au 0.000 0.988 0.988
2 Au 0.000 0.512 0.512
3 Y 0.500 0.750 0.750
4 Te 0.500 0.250 0.250

***

9.
Material: YTe2Au
Method: DFT, PBE
State: relaxed

a b c (Å): 8.890 6.197 6.197
angles (deg): 67.20 114.77 65.23
Positions (direct):
1 Y 0.250 0.611 0.111
2 Y 0.750 0.389 0.889
3 Te 0.747 0.895 0.880
4 Te 0.753 0.380 0.395
5 Te 0.253 0.105 0.120
6 Te 0.247 0.620 0.605
7 Au 0.250 0.100 0.600
8 Au 0.750 0.900 0.400

***

10.
Material: YTe2Au
Method: DFT, PBE
State: relaxed

a b c (Å): 13.305 13.305 4.489
angles (deg): 90.00 90.00 161.84
Positions (direct):
1 Te 0.796 0.204 0.750
2 Te 0.204 0.796 0.250
3 Te 0.087 0.913 0.750
4 Te 0.913 0.087 0.250
5 Au 0.968 0.032 0.750
6 Au 0.032 0.968 0.250
7 Y 0.326 0.674 0.250
8 Y 0.674 0.326 0.750

***

11.
Material: Y7Te2Au2
Method: DFT, PBE
State: relaxed

a b c (Å): 9.467 9.467 9.467
angles (deg): 155.27 117.73 68.06
Positions (direct):
1 Y 0.623 0.361 0.263
2 Y 0.309 0.684 0.625
3 Y 0.004 0.000 0.004
4 Y 0.542 0.125 0.417
5 Y 0.291 0.875 0.417
6 Y 0.902 0.639 0.263
7 Y 0.941 0.316 0.625
8 Te 0.665 0.000 0.665
9 Te 0.263 0.500 0.763
10 Au 0.688 0.763 0.925
11 Au 0.162 0.237 0.925

***

12.
Material: YTe4Au
Method: DFT, PBE
State: relaxed

a b c (Å): 6.268 6.268 6.268
angles (deg): 60.00 60.00 60.00
Positions (direct):
1 Y 0.750 0.750 0.750
2 Te 0.875 0.375 0.375
3 Te 0.375 0.375 0.375
4 Te 0.375 0.875 0.375
5 Te 0.375 0.375 0.875
6 Au 0.000 0.000 0.000

***

Number 1: size of the total moment 0.000 μB/f.u., formation energy (no corrections) 645 meV per atom. Number 2: size of the total moment 0.000 μB/f.u., formation energy (no corrections) -764 meV per atom. Number 3: size of the total moment 0.000 μB/f.u., formation energy (no corrections) -912 meV per atom. Number 4: size of the total moment 0.000 μB/f.u., formation energy (no corrections) -900 meV per atom. Number 5: size of the total moment 0.000 μB/f.u., formation energy (no corrections) -870 meV per atom. Number 6: size of the total moment 0.000 μB/f.u., formation energy (no corrections) -672 meV per atom. Number 7: size of the total moment 0.000 μB/f.u., formation energy (no corrections) -527 meV per atom. Number 8: size of the total moment 0.000 μB/f.u., formation energy (no corrections) -614 meV per atom. Number 9: size of the total moment 0.000 μB/f.u., formation energy (no corrections) -656 meV per atom. Number 10: size of the total moment 0.000 μB/f.u., formation energy (no corrections) -847 meV per atom. Number 11: size of the total moment 0.000 μB/f.u., formation energy (no corrections) -854 meV per atom. Number 12: size of the total moment 0.000 μB/f.u., formation energy (no corrections) 97 meV per atom.